First-principles (PBE-GGA) data for B5C7 after structural relaxation, as listed in Alexandria via LeMat-Bulk.

Geometry as CIF:
```
data_B5C7
_space_group_name_H-M_alt 'P 1'
_space_group_IT_number 1
_space_group_name_Hall 'P 1'
_cell_length_a 4.658
_cell_length_b 2.608
_cell_length_c 6.640
_cell_angle_alpha 90.00
_cell_angle_beta 91.36
_cell_angle_gamma 90.00
loop_
_atom_site_label
_atom_site_type_symbol
_atom_site_fract_x
_atom_site_fract_y
_atom_site_fract_z
B1 B 0.000 0.000 0.000
B2 B 0.002 0.000 0.639
B3 B 0.167 0.500 0.367
B4 B 0.492 0.500 0.711
B5 B 0.667 0.000 0.372
C1 C 0.174 0.500 0.612
C2 C 0.336 0.000 0.267
C3 C 0.344 0.000 0.037
C4 C 0.497 0.500 0.958
C5 C 0.672 0.000 0.615
C6 C 0.814 0.500 0.042
C7 C 0.835 0.500 0.267
```

Calculated volume (Å³ per atom): 6.72
DFT total energy (eV/atom): -7.823